Model w:
Compound: TeS4
Source: the Alexandria database
Functional: PBE-GGA
Structure: optimized geometry

a b c (Å): 5.1106 5.1106 5.1106
angles (deg): 90.00 90.00 90.00
Last column: nearest neighbours and their distance in Å.
Space group Pm-3m (No. 221)
Symmetry-distinct sites (fractional):
Te 0.0000 0.0000 0.0000 x1  6 S 2.56
S 0.0000 0.0000 0.5000 x3  2 Te 2.56
S 0.5000 0.5000 0.5000 x1  12 S 3.61

Model x:
Compound: TeS4
Source: the Alexandria database
Functional: PBE-GGA
Structure: optimized geometry

a b c (Å): 4.4170 5.4303 6.2088
angles (deg): 77.65 73.09 78.78
Last column: nearest neighbours and their distance in Å.
Space group P-1 (No. 2)
Symmetry-distinct sites (fractional):
Te 0.0000 0.0000 0.0000 x1  4 S 2.70-2.75
S 0.2008 0.9922 0.3723 x2  1 S 2.01
S 0.4328 0.5894 0.8621 x2  1 S 1.97

Energetically preferred structure: model x | next structure: +85.5 kJ/mol of atoms